Entry from the Alexandria database: a geometry-optimized CuRuBr2 structure (GGA-PBE).

Calculated values
- Volume: 21.2 Å³/atom
- Energy relative to the elements, uncorrected: 0.6002 eV/atom
- E above lowest polymorph: 0.346 eV/atom

Cell: 3.6590 3.6590 7.8589 Å, 90.00 90.00 126.14°
Last column: nearest neighbours and their distance in Å.
Element x y z (fractional)
Ru  0.5000  0.5000  0.7500  4 Br 2.62
Br  0.0000  0.0000  0.4926  2 Cu 2.53, 2 Ru 2.62
Br  0.0000  0.0000  0.0074  2 Cu 2.53, 2 Ru 2.62
Cu  0.5000  0.5000  0.2500  4 Br 2.53

=====

Entry from the Alexandria database: a geometry-optimized Ba2Tl6SnPd structure (GGA-PBE).

Calculated values
- Volume: 33.2 Å³/atom
- DFT total energy: -2.94 eV per atom

Cell: 7.6620 7.6620 13.8044 Å, 73.89 73.89 60.00°
Last column: nearest neighbours and their distance in Å.
Element x y z (fractional)
Tl  0.3362  0.9190  0.4087  1 Pd 2.84, 1 Sn 3.07
Tl  0.3459  0.7808  0.0925  1 Pd 2.78
Tl  0.9190  0.3362  0.4087  1 Pd 2.84, 1 Sn 3.07
Pd  0.0000  0.0000  0.0000  6 Tl 2.78
Tl  0.6541  0.2192  0.9075  1 Pd 2.78
Ba  0.2804  0.2804  0.1587  12 Tl 3.75-3.94
Tl  0.7808  0.3459  0.0925  1 Pd 2.78
Ba  0.7196  0.7196  0.8413  12 Tl 3.75-3.94
Tl  0.0810  0.6638  0.5913  1 Pd 2.84, 1 Sn 3.07
Tl  0.6638  0.0810  0.5913  1 Pd 2.84, 1 Sn 3.07
Sn  0.5727  0.5727  0.2818  1 Pd 2.85, 6 Tl 3.07-3.13
Sn  0.4273  0.4273  0.7182  1 Pd 2.85, 6 Tl 3.07-3.13
Pd  0.5000  0.5000  0.5000  6 Tl 2.84, 2 Sn 2.85
Tl  0.3362  0.3362  0.4087  1 Pd 2.84, 1 Sn 3.07
Tl  0.6638  0.6638  0.5913  1 Pd 2.84, 1 Sn 3.07
Ba  0.1061  0.1061  0.6817  12 Tl 3.87-4.03, 1 Pd 4.16
Tl  0.7808  0.7808  0.0925  1 Pd 2.78
Tl  0.2192  0.2192  0.9075  1 Pd 2.78
Ba  0.8939  0.8939  0.3183  12 Tl 3.87-4.03, 1 Pd 4.16
Tl  0.2192  0.6541  0.9075  1 Pd 2.78

=====

Entry from the Alexandria database: a geometry-optimized FeCu2W structure (GGA-PBE).

Calculated values
- Volume: 13.0 Å³/atom
- E above lowest polymorph: 0.072 eV/atom

Cell: 4.4887 4.4887 4.7126 Å, 82.48 82.48 33.50°
Last column: nearest neighbours and their distance in Å.
Element x y z (fractional)
W  0.2509  0.2509  0.2620  3 Fe 2.49-2.65, 2 W 2.59, 7 Cu 2.65-2.70
Cu  0.7511  0.7511  0.7608  5 Cu 2.53-2.59, 3 Fe 2.63-2.68, 4 W 2.68-2.69
Fe  0.4950  0.4950  0.4932  3 W 2.49-2.65, 2 Fe 2.59, 7 Cu 2.63-2.72
Cu  0.0030  0.0030  0.9839  5 Cu 2.53-2.59, 3 W 2.65-2.70, 4 Fe 2.66-2.72

=====

Entry from the Alexandria database: a geometry-optimized DyTmBiSe structure (GGA-PBE).

Calculated values
- Volume: 27.9 Å³/atom
- Energy relative to the elements, uncorrected: -1.1311 eV/atom

Cell: 4.1494 4.1497 7.8517 Å, 90.00 105.32 120.00°
Last column: nearest neighbours and their distance in Å.
Element x y z (fractional)
Bi  0.1311  0.9635  0.1097  3 Tm 3.03, 3 Dy 3.10
Se  0.4751  0.1355  0.6260  3 Tm 2.97, 3 Dy 3.05
Dy  0.9734  0.3848  0.3733  3 Se 3.05, 3 Bi 3.10
Tm  0.2983  0.5470  0.8606  3 Se 2.97, 3 Bi 3.03

=====

Entry from the Alexandria database: a geometry-optimized HoZn2Ni3 structure (GGA-PBE).

Calculated values
- Volume: 15.1 Å³/atom
- DFT total energy: -4.36 eV per atom

Cell: 5.1610 5.9983 5.9983 Å, 77.07 90.00 90.00°
Last column: nearest neighbours and their distance in Å.
Element x y z (fractional)
Ho  0.2500  0.6687  0.3313  5 Ni 2.67-2.89
Ni  0.7500  0.8447  0.4257  2 Ni 2.35-2.54, 2 Zn 2.44
Zn  0.0000  0.2211  0.2211  6 Ni 2.44-2.65, 2 Zn 2.58
Zn  0.0000  0.7789  0.7789  6 Ni 2.44-2.65, 2 Zn 2.58
Zn  0.5000  0.7789  0.7789  6 Ni 2.44-2.65, 2 Zn 2.58
Ni  0.7500  0.9736  0.0264  4 Ni 2.35-2.61, 4 Zn 2.45
Ni  0.2500  0.4257  0.8447  2 Ni 2.35-2.54, 2 Zn 2.44
Ni  0.2500  0.0264  0.9736  4 Ni 2.35-2.61, 4 Zn 2.45
Zn  0.5000  0.2211  0.2211  6 Ni 2.44-2.65, 2 Zn 2.58
Ho  0.7500  0.3313  0.6687  5 Ni 2.67-2.89
Ni  0.2500  0.1553  0.5743  2 Ni 2.35-2.54, 2 Zn 2.44
Ni  0.7500  0.5743  0.1553  2 Ni 2.35-2.54, 2 Zn 2.44

=====

DOS(E_F) (states/eV per cell)
3.9; 11.0; 2.5; 1.8; 7.5
Theoretical density (g/cm3)
6.3; 8.6; 11.7; 9.2; 8.7